# 1
Entry from OQMD via LeMat-Bulk: an optimized crystal structure of La2NdAl3AgPt2 (PBE). Values from VASP.

Results
The value obtained for the calculated volume is 22.16 Å³ per atom. As for the spin magnetization: 0.000 μB/f.u. The total energy is -5.339 eV/atom.

Structure (Quantum ESPRESSO input):
```
&SYSTEM
  ibrav = 0, nat = 9, ntyp = 5
/
ATOMIC_SPECIES
Ag 107.87 Ag.upf
Al 26.98 Al.upf
La 138.91 La.upf
Nd 144.24 Nd.upf
Pt 195.08 Pt.upf
CELL_PARAMETERS angstrom
4.277 0.000 0.000
0.000 6.380 3.654
0.000 -6.380 3.654
ATOMIC_POSITIONS crystal
Ag 0.000 0.001 0.001
Al 0.500 0.240 0.003
Al 0.500 0.003 0.240
Al 0.500 0.757 0.757
La 0.000 0.575 0.000
La 0.000 0.000 0.575
Nd 0.000 0.423 0.423
Pt 0.500 0.668 0.334
Pt 0.500 0.334 0.668
```

***

# 2
Entry from OQMD via LeMat-Bulk: an optimized crystal structure of BeCdGaAu (PBE). Values from VASP.

Results
The energy above the most stable polymorph in this dataset comes out at 0.00 eV per formula unit. The value obtained for the calculated volume is 16.58 Å³ per atom.

Structure (Quantum ESPRESSO input):
```
&SYSTEM
  ibrav = 0, nat = 4, ntyp = 4
/
ATOMIC_SPECIES
Au 196.97 Au.upf
Be 9.01 Be.upf
Cd 112.41 Cd.upf
Ga 69.72 Ga.upf
CELL_PARAMETERS angstrom
4.304 0.604 1.322
1.589 4.196 0.715
0.903 1.397 4.228
ATOMIC_POSITIONS crystal
Au 0.750 0.750 0.750
Be 0.500 0.500 0.500
Cd 0.250 0.250 0.250
Ga 0.000 0.000 0.000
```

***

What did the first record say?
Entry from OQMD via LeMat-Bulk: an optimized crystal structure of La2NdAl3AgPt2 (PBE). Values from VASP.

Results
The value obtained for the calculated volume is 22.16 Å³ per atom. As for the spin magnetization: 0.000 μB/f.u. The total energy is -5.339 eV/atom.

Structure (Quantum ESPRESSO input):
```
&SYSTEM
  ibrav = 0, nat = 9, ntyp = 5
/
ATOMIC_SPECIES
Ag 107.87 Ag.upf
Al 26.98 Al.upf
La 138.91 La.upf
Nd 144.24 Nd.upf
Pt 195.08 Pt.upf
CELL_PARAMETERS angstrom
4.277 0.000 0.000
0.000 6.380 3.654
0.000 -6.380 3.654
ATOMIC_POSITIONS crystal
Ag 0.000 0.001 0.001
Al 0.500 0.240 0.003
Al 0.500 0.003 0.240
Al 0.500 0.757 0.757
La 0.000 0.575 0.000
La 0.000 0.000 0.575
Nd 0.000 0.423 0.423
Pt 0.500 0.668 0.334
Pt 0.500 0.334 0.668
```